Entry 1:
DFT (PBE) results for a relaxed structure of CaMn2Al. Values from VASP.

Summary:
- Symmetry: No. 10

```
&SYSTEM
  ibrav = 0, nat = 4, ntyp = 3
/
ATOMIC_SPECIES
Ca 40.08 Ca.upf
Mn 54.94 Mn.upf
Al 26.98 Al.upf
ATOMIC_POSITIONS crystal
Ca 0.500 0.750 0.750
Mn 0.000 0.479 0.434
Mn 0.000 0.021 0.066
Al 0.500 0.250 0.250
CELL_PARAMETERS angstrom
4.157 0.000 0.000
0.000 2.922 -0.021
0.000 1.500 6.170
```

***

Entry 2:
DFT (PBE) results for a relaxed structure of CaMnAl2. Values from VASP.

Summary:
- Symmetry: No. 123

```
&SYSTEM
  ibrav = 0, nat = 4, ntyp = 3
/
ATOMIC_SPECIES
Al 26.98 Al.upf
Ca 40.08 Ca.upf
Mn 54.94 Mn.upf
ATOMIC_POSITIONS crystal
Al 0.000 0.432 0.568
Al 0.000 0.068 0.932
Ca 0.500 0.250 0.250
Mn 0.500 0.750 0.750
CELL_PARAMETERS angstrom
3.116 0.000 0.000
0.000 3.108 0.001
0.000 3.108 7.360
```

***

Entry 3:
DFT (PBE) results for a relaxed structure of CaMnAl2. Values from VASP.

Summary:
- Symmetry: No. 8

```
&SYSTEM
  ibrav = 0, nat = 4, ntyp = 3
/
ATOMIC_SPECIES
Al 26.98 Al.upf
Ca 40.08 Ca.upf
Mn 54.94 Mn.upf
ATOMIC_POSITIONS crystal
Al 0.265 0.265 0.187
Al 0.003 0.003 0.987
Ca 0.500 0.500 0.506
Mn 0.732 0.732 0.819
CELL_PARAMETERS angstrom
-3.042 -1.917 -3.405
-0.954 -3.989 -2.775
-3.681 -2.683 3.374
```

***

Entry 4:
DFT (PBE) results for a relaxed structure of CaMn2Al. Values from VASP.

Summary:
- Symmetry: No. 22

```
&SYSTEM
  ibrav = 0, nat = 4, ntyp = 3
/
ATOMIC_SPECIES
Ca 40.08 Ca.upf
Mn 54.94 Mn.upf
Al 26.98 Al.upf
ATOMIC_POSITIONS crystal
Ca 0.750 0.250 0.500
Mn 0.250 0.750 0.500
Mn 0.999 0.001 0.000
Al 0.501 0.499 0.000
CELL_PARAMETERS angstrom
-1.417 -2.362 -4.158
4.258 -1.160 -2.324
-1.337 -0.889 4.722
```

***

no.,energy of formation (meV/atom)
1,300.8
2,-109.8
3,129.9
4,351.5